A plane-wave DFT calculation with GGA-PBE was carried out for a relaxed MgTcAu2 crystal.

Results
Uncorrected energy, eV per atom: -4.16
Relative energy among the computed polymorphs, meV per atom: 485
ΔE_f, meV/atom: 467
M_tot, μB/cell: 8.07

Cell lengths 3.982, 3.982, 19.015 Å; angles 90.00, 90.00, 90.00 degrees
Space group I-42d (No. 122)
One atom of each set of equivalent atoms:
Mg: 0.000 0.000 0.000 [4 per cell]
Tc: 0.000 0.000 0.500 [4 per cell]
Au: 0.249 0.250 0.125 [8 per cell]